Density functional theory data (GGA-PBE) for a geometry-optimized Eu2PdSe structure.

Geometry as extended XYZ:
```
4
Lattice="4.2611 0.0000 0.0000 2.1305 3.6902 0.0000 2.1305 1.2301 7.2194" Properties=species:S:1:pos:R:3 pbc="T T T"
Pd 0.0000 0.0000 0.0000
Se 4.2611 2.4601 3.6097
Eu 2.1305 1.2301 1.7876
Eu 6.3916 3.6902 5.4318
```

Properties
DFT total energy in eV for the cell shown: -34.106
Space group: R-3m, No. 166
Energy above the most stable polymorph in this dataset in eV/atom: 0.000
Crystal system: trigonal



Density functional theory data (GGA-PBE) for a geometry-optimized Ba2Cd2Sn3 structure.

Geometry as extended XYZ:
```
14
Lattice="5.0883 0.0000 -1.2131 0.0000 7.9622 0.0000 -0.0072 0.0000 11.2479" Properties=species:S:1:pos:R:3 pbc="T T T"
Ba 0.2456 5.9717 1.0301
Sn 3.9637 1.9906 5.3478
Sn 2.2245 4.5288 9.3304
Sn 1.1174 5.9717 4.6870
Sn 2.2245 7.4145 9.3304
Ba 4.2822 5.9717 6.6834
Ba 0.7990 1.9906 3.3513
Sn 2.8567 0.5477 0.7044
Cd 3.5034 4.4352 3.4167
Ba 4.8356 1.9906 9.0047
Cd 1.5778 0.4541 6.6180
Sn 2.8567 3.4334 0.7044
Cd 3.5034 7.5081 3.4167
Cd 1.5778 3.5270 6.6180
```

Properties
DFT total energy in eV for the cell shown: -42.210
ΔH_f (0 K) in meV/atom: -488.7
Space group: Cmcm, No. 63
Energy above the most stable polymorph in this dataset in eV/atom: 0.000
Crystal system: orthorhombic



Density functional theory data (GGA-PBE) for a geometry-optimized BeNbTeN2 structure.

Geometry as extended XYZ:
```
5
Lattice="-2.6170 -0.0123 2.9726 -2.9681 -0.2063 -2.6139 0.2459 -5.9667 0.1917" Properties=species:S:1:pos:R:3 pbc="T T T"
Te 0.1229 -2.9834 0.0959
N -1.4841 -0.1032 -1.3070
N -1.3085 -0.0062 1.4863
Be -2.6696 -3.0927 0.2752
Nb 0.0000 0.0000 0.0000
```

Properties
DFT total energy in eV for the cell shown: -30.799
Space group: P4/mmm, No. 123
Energy above the most stable polymorph in this dataset in eV/atom: 0.000
Crystal system: tetragonal



Density functional theory data (GGA-PBE) for a geometry-optimized ZrFeCoIr structure.

Geometry as extended XYZ:
```
4
Lattice="-3.8571 -1.8483 0.7865 -0.5561 -2.4429 3.5546 -2.4789 1.4472 3.2670" Properties=species:S:1:pos:R:3 pbc="T T T"
Ir -5.1691 -2.1330 5.7061
Zr -1.7230 -0.7110 1.9020
Co 0.0000 0.0000 0.0000
Fe -3.4461 -1.4220 3.8041
```

Properties
DFT total energy in eV for the cell shown: -33.713
ΔH_f (0 K) in meV/atom: -183.9
Space group: F-43m, No. 216
Crystal system: cubic



Density functional theory data (GGA-PBE) for a geometry-optimized LiAcSiN3 structure.

Geometry as extended XYZ:
```
12
Lattice="5.3579 0.0000 0.0000 0.0000 5.3853 0.0000 0.0000 -2.6927 5.0050" Properties=species:S:1:pos:R:3 pbc="T T T"
N 0.0000 1.1813 0.0000
Li 1.3395 0.0000 4.2854
Ac 4.0184 0.0000 2.6525
Ac 1.3395 2.6927 2.3525
N 2.6790 4.2040 0.0000
N 2.6790 1.1813 0.0000
N 4.0184 2.6927 2.7020
Si 4.0184 2.6927 4.4538
Li 4.0184 2.6927 0.7196
N 1.3395 0.0000 2.3031
N 0.0000 4.2040 0.0000
Si 1.3395 0.0000 0.5513
```

Properties
DFT total energy in eV for the cell shown: -82.367
Space group: Cmcm, No. 63
Crystal system: orthorhombic



Density functional theory data (GGA-PBE) for a geometry-optimized Pr2Sm7Y3 structure.

Geometry as extended XYZ:
```
12
Lattice="3.6171 -0.0002 -0.4669 -0.0735 5.7703 -0.5640 0.7803 -2.5796 19.8851" Properties=species:S:1:pos:R:3 pbc="T T T"
Sm 4.0066 0.8556 16.3653
Sm 2.1765 5.3138 2.6601
Sm 0.0000 0.0000 0.0000
Y 1.7718 2.8850 -0.5155
Sm 0.3172 2.3349 2.4889
Pr 2.4983 2.6116 5.1453
Sm 2.1473 -2.1234 16.1941
Sm 1.3870 0.2375 10.4936
Y 3.4230 3.3146 11.8778
Sm 2.9368 2.9530 8.3606
Pr 1.8254 0.5788 13.7089
Y 0.9008 -0.1241 6.9764
```

Properties
DFT total energy in eV for the cell shown: -60.805
ΔH_f (0 K) in meV/atom: 98.4
Space group: P-1, No. 2
Energy above the most stable polymorph in this dataset in eV/atom: 0.017
Crystal system: triclinic



Density functional theory data (GGA-PBE) for a geometry-optimized Ba3Zn3I structure.

Geometry as extended XYZ:
```
14
Lattice="-4.5785 0.6261 -0.3863 -1.7235 -11.1550 2.3461 0.3313 7.7079 8.5666" Properties=species:S:1:pos:R:3 pbc="T T T"
Ba -4.0145 -1.7223 3.0389
Ba -4.6359 -6.7014 2.3341
Ba -1.2038 1.9487 3.5098
I -2.1832 -4.7108 4.3230
Zn -3.4462 1.2348 1.0972
Zn -1.3682 -0.6477 1.2497
Ba -4.7669 -4.7697 7.0166
Ba -1.9562 -1.0987 7.4875
I -3.7875 1.8899 6.2034
Zn -3.3138 6.6081 8.2362
Zn -4.6025 -2.1733 9.2767
Zn -2.6569 -9.4291 2.2902
Zn -2.5244 -4.0558 9.4292
Ba -1.3348 3.8804 8.1923
```

Properties
DFT total energy in eV for the cell shown: -28.861
Space group: P6_3/m, No. 176
Crystal system: hexagonal



Density functional theory data (GGA-PBE) for a geometry-optimized Y2TlPt structure.

Geometry as extended XYZ:
```
4
Lattice="4.5909 0.0000 0.0000 0.0000 3.8460 0.0204 0.0000 1.8990 5.7039" Properties=species:S:1:pos:R:3 pbc="T T T"
Tl 2.2954 3.5895 4.4994
Y 2.2954 1.6747 1.9656
Y 0.0000 5.5079 5.3095
Pt 0.0000 3.5903 2.5363
```

Properties
DFT total energy in eV for the cell shown: -24.295
ΔH_f (0 K) in meV/atom: -740.1
Space group: Pm, No. 6
Energy above the most stable polymorph in this dataset in eV/atom: 0.057
Crystal system: monoclinic



Density functional theory data (GGA-PBE) for a geometry-optimized CeTmHgRu structure.

Geometry as extended XYZ:
```
4
Lattice="3.3719 0.0000 0.0000 0.0000 3.3719 0.0000 0.0000 0.0000 8.0085" Properties=species:S:1:pos:R:3 pbc="T T T"
Hg 0.0000 0.0000 0.6769
Ru 0.0000 0.0000 4.5132
Ce 1.6860 1.6860 6.2725
Tm 1.6860 1.6860 2.8302
```

Properties
DFT total energy in eV for the cell shown: -21.735
ΔH_f (0 K) in meV/atom: -438.0
Space group: P4mm, No. 99
Energy above the most stable polymorph in this dataset in eV/atom: 0.000
Crystal system: tetragonal



Density functional theory data (GGA-PBE) for a geometry-optimized LiHf3S structure.

Geometry as extended XYZ:
```
5
Lattice="-2.2950 0.7157 4.1371 3.7977 -1.6566 2.3933 1.7903 4.4315 0.2265" Properties=species:S:1:pos:R:3 pbc="T T T"
S 0.0000 0.0000 0.0000
Hf -1.1475 0.3578 2.0685
Hf 1.8989 -0.8283 1.1967
Hf 0.8951 2.2158 0.1133
Li 1.6465 1.7453 3.3785
```

Properties
DFT total energy in eV for the cell shown: -36.683
Space group: Pm-3m, No. 221
Energy above the most stable polymorph in this dataset in eV/atom: 0.000
Crystal system: cubic



Density functional theory data (GGA-PBE) for a geometry-optimized KSnB structure.

Geometry as extended XYZ:
```
6
Lattice="17.2928 0.0000 -0.0173 6.5319 2.3923 -2.2619 -6.5319 2.3923 2.2619" Properties=species:S:1:pos:R:3 pbc="T T T"
Sn 2.5970 2.3923 -0.6311
K 6.6937 2.3923 -0.1183
B 2.2979 2.3923 1.5195
Sn 14.6958 2.3923 0.6138
B 14.9949 2.3923 -1.5368
K 10.5992 2.3923 0.1010
```

Properties
DFT total energy in eV for the cell shown: -21.831
ΔH_f (0 K) in meV/atom: 287.4
Space group: C2/m, No. 12
Crystal system: monoclinic



Density functional theory data (GGA-PBE) for a geometry-optimized SnBi2Au structure.

Geometry as extended XYZ:
```
8
Lattice="6.7520 0.0000 0.0000 0.0000 6.7520 0.0000 3.3760 3.3760 6.5120" Properties=species:S:1:pos:R:3 pbc="T T T"
Bi 8.4400 8.6016 4.8840
Sn 3.3760 6.7520 3.2560
Bi 1.5264 5.0640 1.6280
Sn 3.3760 3.3760 0.0000
Bi 5.2256 1.6880 1.6280
Au 6.7520 3.3760 3.2560
Au 0.0000 0.0000 0.0000
Bi 5.0640 4.9024 4.8840
```

Properties
DFT total energy in eV for the cell shown: -29.342
ΔH_f (0 K) in meV/atom: 92.8
Space group: I-42d, No. 122
Crystal system: tetragonal



| no. | total moment (μB per formula unit) |
| --- | --- |
| 1 | 13.98 |
| 2 | 0.00 |
| 3 | 0.60 |
| 4 | 3.71 |
| 5 | 0.00 |
| 6 | 0.00 |
| 7 | 0.01 |
| 8 | 0.00 |
| 9 | 0.00 |
| 10 | 0.00 |
| 11 | 0.00 |
| 12 | 0.00 |